Here is a geometry-optimized HgCSN2 structure from Alexandria via LeMat-Bulk. Energies are from GGA-PBE.

The structure in POSCAR format:
```
HgCSN2
1.0
4.169 0.000 0.000
0.000 4.169 0.000
0.000 0.000 5.774
C S Hg N
1 1 1 2
direct
0.500 0.500 0.500
0.000 0.000 0.500
0.000 0.000 0.000
0.000 0.500 0.000
0.500 0.000 0.000
```

Output
The energy relative to the elements, uncorrected comes out at 16.59 eV/f.u. The polymorph energy (0 for the lowest one) comes out at 1.149 eV/atom. Its space group is P4/mmm, No. 123.

---

Here is a geometry-optimized LiAc2Ge4Rh3 structure from Alexandria via LeMat-Bulk. Energies are from GGA-PBE.

The structure in POSCAR format:
```
LiAc2Ge4Rh3
1.0
4.473 0.000 0.000
0.000 4.473 0.000
0.000 0.000 9.985
Li Ac Ge Rh
1 2 4 3
direct
0.500 0.500 0.500
0.500 0.000 0.250
0.000 0.500 0.750
0.500 0.500 0.000
0.000 0.000 0.000
0.500 0.000 0.626
0.000 0.500 0.374
0.000 0.000 0.500
0.500 0.000 0.877
0.000 0.500 0.123
```

Output
Its space group is P-4m2, No. 115. Its energy relative to the elements is -753 meV per atom.

---

Here is a geometry-optimized NbInBC2 structure from Alexandria via LeMat-Bulk. Energies are from GGA-PBE.

The structure in POSCAR format:
```
NbInBC2
1.0
4.016 0.000 0.000
0.000 5.612 0.000
0.000 0.000 4.016
Nb B C In
1 1 2 1
direct
0.000 0.500 0.000
0.500 0.500 0.500
0.000 0.000 0.500
0.500 0.000 0.000
0.000 0.000 0.000
```

Output
Its space group is P4/mmm, No. 123. Its energy relative to the elements is 3181 meV per atom.

---

Here is a geometry-optimized KZnInF6 structure from Alexandria via LeMat-Bulk. Energies are from GGA-PBE.

The structure in POSCAR format:
```
KZnInF6
1.0
-2.611 -4.278 2.539
4.660 -0.934 -2.996
6.266 1.654 9.232
K Zn In F
2 2 2 12
direct
0.000 0.000 0.000
0.000 0.000 0.500
0.667 0.333 0.250
0.333 0.667 0.750
0.333 0.667 0.250
0.667 0.333 0.750
0.626 0.621 0.149
0.995 0.374 0.149
0.374 0.995 0.649
0.005 0.626 0.851
0.379 0.374 0.351
0.995 0.621 0.351
0.621 0.995 0.851
0.626 0.005 0.351
0.005 0.379 0.649
0.379 0.005 0.149
0.621 0.626 0.649
0.374 0.379 0.851
```

Output
The energy relative to the elements, uncorrected comes out at -23.08 eV/f.u. Its space group is P-31c, No. 163.

---

Q: Which formula does entry 2 have?
A: LiAc2Ge4Rh3